## SrAlCr2 (PBE)

Data for an optimized crystal structure of SrAlCr2.

a = 3.4254 Å, b = 3.4254 Å, c = 6.7529 Å
α = 90.00°, β = 90.00°, γ = 90.00°
With the nearest neighbours (Å) after each atom.
Element x y z (fractional)
Sr  0.0000  0.0000  0.0000  2 Al 3.38, 8 Cr 3.42, 4 Sr 3.43
Al  0.0000  0.0000  0.5000  8 Cr 2.61
Cr  0.5000  0.5000  0.3567  1 Cr 1.94
Cr  0.5000  0.5000  0.6433  1 Cr 1.94

Output
DOS(E_F) = 3.5 states/eV per cell
Volume = 79 Å³/f.u.
Electronic total energy = -22.828 eV per formula unit